The following is a PBE calculation of an optimized crystal structure of NaIBr5, from the Alexandria database.

```
NaIBr5
1.0
7.279 -0.184 0.669
2.135 6.962 0.669
4.167 3.000 11.143
Br I Na
10 2 2
Direct
0.644 0.370 0.997 Br
0.356 0.630 0.003 Br
0.011 0.989 0.750 Br
0.989 0.011 0.250 Br
0.630 0.356 0.503 Br
0.685 0.783 0.132 Br
0.783 0.685 0.632 Br
0.315 0.217 0.868 Br
0.217 0.315 0.368 Br
0.370 0.644 0.497 Br
0.000 0.000 0.000 I
0.000 0.000 0.500 I
0.336 0.664 0.750 Na
0.664 0.336 0.250 Na
```

Computed properties:
As for the uncorrected formation energy: -260 kJ/mol of formula units. The total magnetic moment comes out at 0.00 Bohr magnetons per cell.

The following is a PBE calculation of an optimized crystal structure of CsVGeCl6, from the Alexandria database.

```
CsVGeCl6
1.0
6.664 0.000 0.000
3.332 5.772 0.000
0.000 0.000 7.742
V Cl Ge Cs
1 6 1 1
Direct
0.333 0.333 0.500 V
0.356 0.616 0.321 Cl
0.028 0.356 0.321 Cl
0.616 0.028 0.321 Cl
0.028 0.616 0.679 Cl
0.356 0.028 0.679 Cl
0.616 0.356 0.679 Cl
0.667 0.667 0.500 Ge
0.000 0.000 0.000 Cs
```

Computed properties:
As for the uncorrected formation energy: -1113 kJ/mol of formula units. The total magnetic moment comes out at 2.00 Bohr magnetons per cell.

The following is a PBE calculation of an optimized crystal structure of BaNbCr2Ni, from the Alexandria database.

```
BaNbCr2Ni
1.0
-2.889 -2.278 -3.260
2.531 -4.173 0.673
-3.072 -1.280 3.618
Cr Ba Ni Nb
2 1 1 1
Direct
0.500 0.000 0.000 Cr
0.000 0.000 0.500 Cr
0.500 0.500 0.500 Ba
0.000 0.500 0.000 Ni
0.000 0.000 0.000 Nb
```

Computed properties:
The energy of formation comes out at 0.96 eV/atom. The total magnetic moment comes out at 5.93 Bohr magnetons per cell.

The following is a PBE calculation of an optimized crystal structure of Li2FeW, from the Alexandria database.

```
Li2FeW
1.0
2.963 0.000 0.000
0.000 2.964 0.000
0.000 0.000 6.854
W Fe Li
1 1 2
Direct
0.000 0.000 0.547 W
0.500 0.500 0.725 Fe
0.000 0.000 0.973 Li
0.500 0.500 0.254 Li
```

Computed properties:
The energy of formation comes out at 0.35 eV/atom. The total magnetic moment comes out at 1.25 Bohr magnetons per cell.

- Which value of total magnetic moment does entry 4 give?
  1.25 Bohr magnetons per cell

- Number 4 is which compound?
  Li2FeW